# 1
Below is an optimized crystal structure of Sr2Ca7, with properties calculated at the PBE level.

Unit cell a=10.9552 b=10.9552 c=3.8813 alpha=90.00 beta=90.00 gamma=120.00
Atoms (fractional coordinates):
Sr 0.3333 0.6667 0.0000
Sr 0.6667 0.3333 0.0000
Ca 0.0000 0.0000 0.5000
Ca 0.0000 0.3048 0.0000
Ca 0.0000 0.6506 0.5000
Ca 0.3048 0.0000 0.0000
Ca 0.3494 0.3494 0.5000
Ca 0.6506 0.0000 0.5000
Ca 0.6952 0.6952 0.0000

Results
ΔE_f	0.043	eV per atom
ρ	1.9	g cm⁻³
calculated volume	403.4	Å³/cell
offset from the most stable computed form	28.8	meV per atom

# 2
Below is an optimized crystal structure of SrCa, with properties calculated at the PBE level.

Unit cell a=4.1299 b=4.1299 c=11.2765 alpha=90.00 beta=90.00 gamma=90.00
Atoms (fractional coordinates):
Sr 0.2500 0.2500 0.1385
Sr 0.7500 0.7500 0.8615
Ca 0.2500 0.2500 0.6111
Ca 0.7500 0.7500 0.3889

Results
ΔE_f	0.014	eV per atom
ρ	2.2	g cm⁻³
calculated volume	192.3	Å³/cell
offset from the most stable computed form	0.0	meV per atom

# 3
Below is an optimized crystal structure of Sr2Ca3, with properties calculated at the PBE level.

Unit cell a=10.3593 b=7.6472 c=11.8428 alpha=59.69 beta=39.59 gamma=80.72
Atoms (fractional coordinates):
Sr 0.2778 0.7222 0.3245
Sr 0.5745 0.9255 0.5278
Sr 0.7222 0.2778 0.6755
Sr 0.9255 0.5745 0.9722
Ca 0.1058 0.8417 0.0909
Ca 0.1591 0.2885 0.1442
Ca 0.2885 0.1591 0.4083
Ca 0.4422 0.4422 0.5578
Ca 0.6922 0.6922 0.8078
Ca 0.8417 0.1058 0.9615

Results
ΔE_f	0.045	eV per atom
ρ	2.1	g cm⁻³
calculated volume	469.9	Å³/cell
offset from the most stable computed form	0.0	meV per atom

# 4
Below is an optimized crystal structure of SrCa11, with properties calculated at the PBE level.

Unit cell a=12.5750 b=12.5750 c=3.8054 alpha=90.00 beta=90.00 gamma=120.00
Atoms (fractional coordinates):
Sr 0.0000 0.0000 0.0000
Ca 0.0000 0.5000 0.0000
Ca 0.1760 0.3519 0.5000
Ca 0.1760 0.8240 0.5000
Ca 0.3333 0.6667 0.0000
Ca 0.3519 0.1760 0.5000
Ca 0.5000 0.0000 0.0000
Ca 0.5000 0.5000 0.0000
Ca 0.6481 0.8240 0.5000
Ca 0.6667 0.3333 0.0000
Ca 0.8240 0.1760 0.5000
Ca 0.8240 0.6481 0.5000

Results
ΔE_f	0.036	eV per atom
ρ	1.7	g cm⁻³
calculated volume	521.1	Å³/cell

# 5
Below is an optimized crystal structure of Sr3Ca7, with properties calculated at the PBE level.

Unit cell a=10.6458 b=10.6458 c=8.0430 alpha=101.15 beta=101.15 gamma=30.66
Atoms (fractional coordinates):
Sr 0.0000 0.0000 0.0000
Sr 0.1984 0.1984 0.6024
Sr 0.8016 0.8016 0.3976
Ca 0.0000 0.0000 0.5000
Ca 0.1994 0.1994 0.0972
Ca 0.3996 0.3996 0.1987
Ca 0.4022 0.4022 0.7006
Ca 0.5978 0.5978 0.2994
Ca 0.6004 0.6004 0.8013
Ca 0.8006 0.8006 0.9028

Results
ΔE_f	0.014	eV per atom
ρ	2.0	g cm⁻³
calculated volume	455.3	Å³/cell
offset from the most stable computed form	0.0	meV per atom

# 6
Below is an optimized crystal structure of SrCa, with properties calculated at the PBE level.

Unit cell a=4.5676 b=4.5676 c=4.5676 alpha=90.00 beta=90.00 gamma=90.00
Atoms (fractional coordinates):
Sr 0.0000 0.0000 0.0000
Ca 0.5000 0.5000 0.5000

Results
ΔE_f	0.026	eV per atom
ρ	2.2	g cm⁻³
calculated volume	95.3	Å³/cell
offset from the most stable computed form	12.1	meV per atom